(1)
# CsCu3Pb, relaxed, DFT PBE
# ΔH_f (0 K) = 7.8 eV/f.u.
# Energy above the lowest structure with this stoichiometry = 1112 meV/atom
data_CsCu3Pb
_cell_length_a 5.435
_cell_length_b 5.435
_cell_length_c 5.435
_cell_angle_alpha 90.00
_cell_angle_beta 90.00
_cell_angle_gamma 90.00
_symmetry_space_group_name_H-M 'P m -3 m'
_symmetry_Int_Tables_number 221
_symmetry_space_group_name_Hall '-P 4 2 3'
loop_
_atom_site_label
_atom_site_type_symbol
_atom_site_fract_x
_atom_site_fract_y
_atom_site_fract_z
_atom_site_occupancy
Cs1 Cs 0.000 0.000 0.000 1
Cu1 Cu 0.000 0.000 0.500 1
Pb1 Pb 0.500 0.500 0.500 1

(2)
# CsCuPbS2, relaxed, DFT PBE
# Raw formation energy = -0.639 eV per atom
data_CsCuPbS2
_cell_length_a 8.121
_cell_length_b 5.199
_cell_length_c 8.184
_cell_angle_alpha 90.00
_cell_angle_beta 109.15
_cell_angle_gamma 90.00
_symmetry_space_group_name_H-M 'P 1 2/c 1'
_symmetry_Int_Tables_number 13
loop_
_symmetry_equiv_pos_as_xyz
'x,y,z'
'-x,-y,-z'
'-x,y,-z+1/2'
'x,-y,z+1/2'
loop_
_atom_site_label
_atom_site_type_symbol
_atom_site_fract_x
_atom_site_fract_y
_atom_site_fract_z
_atom_site_occupancy
Cs1 Cs 0.000 0.234 0.250 1
Cu1 Cu 0.500 0.000 0.000 1
Pb1 Pb 0.500 0.424 0.750 1
S1 S 0.288 0.253 0.995 1

(3)
# CsCuSb2Pb, relaxed, DFT PBE
# Raw formation energy = 0.130 eV per atom
data_CsCuSb2Pb
_cell_length_a 5.383
_cell_length_b 5.383
_cell_length_c 5.518
_cell_angle_alpha 90.00
_cell_angle_beta 90.00
_cell_angle_gamma 90.00
_symmetry_space_group_name_H-M 'P 4/m m m'
_symmetry_Int_Tables_number 123
_symmetry_space_group_name_Hall '-P 4 2'
loop_
_atom_site_label
_atom_site_type_symbol
_atom_site_fract_x
_atom_site_fract_y
_atom_site_fract_z
_atom_site_occupancy
Cs1 Cs 0.000 0.000 0.000 1
Cu1 Cu 0.500 0.500 0.500 1
Sb1 Sb 0.000 0.500 0.500 1
Pb1 Pb 0.500 0.500 0.000 1

(4)
# CsCuPbSe2, relaxed, DFT PBE
# Raw formation energy = -0.626 eV per atom
data_CsCuPbSe2
_cell_length_a 8.484
_cell_length_b 5.298
_cell_length_c 8.393
_cell_angle_alpha 90.00
_cell_angle_beta 109.16
_cell_angle_gamma 90.00
_symmetry_space_group_name_H-M 'P 1 2/c 1'
_symmetry_Int_Tables_number 13
loop_
_symmetry_equiv_pos_as_xyz
'x,y,z'
'-x,-y,-z'
'-x,y,-z+1/2'
'x,-y,z+1/2'
loop_
_atom_site_label
_atom_site_type_symbol
_atom_site_fract_x
_atom_site_fract_y
_atom_site_fract_z
_atom_site_occupancy
Cs1 Cs 0.000 0.235 0.250 1
Cu1 Cu 0.500 0.000 0.000 1
Pb1 Pb 0.500 0.406 0.750 1
Se1 Se 0.284 0.259 0.996 1

(5)
# CsCuPd2, relaxed, DFT PBE
# ΔH_f (0 K) = 1.4 eV/f.u.
# Energy above the lowest structure with this stoichiometry = 0 meV/atom
data_CsCuPd2
_cell_length_a 5.256
_cell_length_b 5.256
_cell_length_c 16.897
_cell_angle_alpha 90.00
_cell_angle_beta 90.00
_cell_angle_gamma 90.00
_symmetry_space_group_name_H-M 'I -4 2 d'
_symmetry_Int_Tables_number 122
_symmetry_space_group_name_Hall 'I -4 2bw'
loop_
_atom_site_label
_atom_site_type_symbol
_atom_site_fract_x
_atom_site_fract_y
_atom_site_fract_z
_atom_site_occupancy
Cs1 Cs 0.000 0.000 0.000 1
Cu1 Cu 0.000 0.000 0.500 1
Pd1 Pd 0.045 0.250 0.625 1

(6)
# Cs2CuPd, relaxed, DFT PBE
# ΔH_f (0 K) = 0.9 eV/f.u.
data_Cs2CuPd
_cell_length_a 12.557
_cell_length_b 12.557
_cell_length_c 5.005
_cell_angle_alpha 90.00
_cell_angle_beta 90.00
_cell_angle_gamma 90.00
_symmetry_space_group_name_H-M 'I -4 2 d'
_symmetry_Int_Tables_number 122
_symmetry_space_group_name_Hall 'I -4 2bw'
loop_
_atom_site_label
_atom_site_type_symbol
_atom_site_fract_x
_atom_site_fract_y
_atom_site_fract_z
_atom_site_occupancy
Cs1 Cs 0.069 0.250 0.125 1
Cu1 Cu 0.000 0.000 0.500 1
Pd1 Pd 0.000 0.000 0.000 1

(7)
# CsCu2Pd2, relaxed, DFT PBE
# ΔH_f (0 K) = 1.5 eV/f.u.
data_CsCu2Pd2
_cell_length_a 4.326
_cell_length_b 4.326
_cell_length_c 11.358
_cell_angle_alpha 90.00
_cell_angle_beta 90.00
_cell_angle_gamma 90.00
_symmetry_space_group_name_H-M 'I 4/m m m'
_symmetry_Int_Tables_number 139
_symmetry_space_group_name_Hall '-I 4 2'
loop_
_atom_site_label
_atom_site_type_symbol
_atom_site_fract_x
_atom_site_fract_y
_atom_site_fract_z
_atom_site_occupancy
Cs1 Cs 0.000 0.000 0.000 1
Cu1 Cu 0.000 0.500 0.250 1
Pd1 Pd 0.000 0.000 0.372 1

(8)
# CsCuPd3, relaxed, DFT PBE
# ΔH_f (0 K) = 2.2 eV/f.u.
# Energy above the lowest structure with this stoichiometry = 0 meV/atom
data_CsCuPd3
_cell_length_a 4.864
_cell_length_b 4.864
_cell_length_c 4.864
_cell_angle_alpha 90.00
_cell_angle_beta 90.00
_cell_angle_gamma 90.00
_symmetry_space_group_name_H-M 'P m -3 m'
_symmetry_Int_Tables_number 221
_symmetry_space_group_name_Hall '-P 4 2 3'
loop_
_atom_site_label
_atom_site_type_symbol
_atom_site_fract_x
_atom_site_fract_y
_atom_site_fract_z
_atom_site_occupancy
Cs1 Cs 0.000 0.000 0.000 1
Cu1 Cu 0.500 0.500 0.500 1
Pd1 Pd 0.000 0.500 0.500 1

(9)
# CsCuPd2, relaxed, DFT PBE
# ΔH_f (0 K) = 2.5 eV/f.u.
# Energy above the lowest structure with this stoichiometry = 266 meV/atom
data_CsCuPd2
_cell_length_a 6.920
_cell_length_b 6.920
_cell_length_c 6.920
_cell_angle_alpha 90.00
_cell_angle_beta 90.00
_cell_angle_gamma 90.00
_symmetry_space_group_name_H-M 'F m -3 m'
_symmetry_Int_Tables_number 225
_symmetry_space_group_name_Hall '-F 4 2 3'
loop_
_atom_site_label
_atom_site_type_symbol
_atom_site_fract_x
_atom_site_fract_y
_atom_site_fract_z
_atom_site_occupancy
Cs1 Cs 0.000 0.000 0.000 1
Cu1 Cu 0.000 0.000 0.500 1
Pd1 Pd 0.250 0.250 0.250 1

(10)
# CsCuPd3, relaxed, DFT PBE
# ΔH_f (0 K) = 8.1 eV/f.u.
# Energy above the lowest structure with this stoichiometry = 1194 meV/atom
data_CsCuPd3
_cell_length_a 5.287
_cell_length_b 5.287
_cell_length_c 5.287
_cell_angle_alpha 90.00
_cell_angle_beta 90.00
_cell_angle_gamma 90.00
_symmetry_space_group_name_H-M 'P m -3 m'
_symmetry_Int_Tables_number 221
_symmetry_space_group_name_Hall '-P 4 2 3'
loop_
_atom_site_label
_atom_site_type_symbol
_atom_site_fract_x
_atom_site_fract_y
_atom_site_fract_z
_atom_site_occupancy
Cs1 Cs 0.000 0.000 0.000 1
Cu1 Cu 0.500 0.500 0.500 1
Pd1 Pd 0.000 0.000 0.500 1

(11)
# Cs2CuSnPd, relaxed, DFT PBE
# ΔH_f (0 K) = 2.2 eV/f.u.
data_Cs2CuSnPd
_cell_length_a 6.513
_cell_length_b 6.513
_cell_length_c 4.952
_cell_angle_alpha 90.00
_cell_angle_beta 90.00
_cell_angle_gamma 90.00
_symmetry_space_group_name_H-M 'P 4/m m m'
_symmetry_Int_Tables_number 123
_symmetry_space_group_name_Hall '-P 4 2'
loop_
_atom_site_label
_atom_site_type_symbol
_atom_site_fract_x
_atom_site_fract_y
_atom_site_fract_z
_atom_site_occupancy
Cs1 Cs 0.000 0.500 0.000 1
Cu1 Cu 0.000 0.000 0.000 1
Sn1 Sn 0.000 0.000 0.500 1
Pd1 Pd 0.500 0.500 0.500 1

(12)
# CsCuTe6Pd, relaxed, DFT PBE
# Raw formation energy = -0.203 eV per atom
data_CsCuTe6Pd
_cell_length_a 8.619
_cell_length_b 9.707
_cell_length_c 14.426
_cell_angle_alpha 90.00
_cell_angle_beta 90.00
_cell_angle_gamma 90.00
_symmetry_space_group_name_H-M 'I m m a'
_symmetry_Int_Tables_number 74
_symmetry_space_group_name_Hall '-I 2b 2'
loop_
_atom_site_label
_atom_site_type_symbol
_atom_site_fract_x
_atom_site_fract_y
_atom_site_fract_z
_atom_site_occupancy
Cs1 Cs 0.000 0.250 0.156 1
Cu1 Cu 0.250 0.250 0.750 1
Te1 Te 0.000 0.250 0.415 1
Te2 Te 0.000 0.250 0.889 1
Te3 Te 0.223 0.045 0.632 1
Pd1 Pd 0.000 0.000 0.500 1

(13)
# CsCuTe2Pd, relaxed, DFT PBE
# Raw formation energy = -0.365 eV per atom
data_CsCuTe2Pd
_cell_length_a 8.155
_cell_length_b 6.146
_cell_length_c 6.811
_cell_angle_alpha 90.00
_cell_angle_beta 110.80
_cell_angle_gamma 90.00
_symmetry_space_group_name_H-M 'P 1 2/c 1'
_symmetry_Int_Tables_number 13
loop_
_symmetry_equiv_pos_as_xyz
'x,y,z'
'-x,-y,-z'
'-x,y,-z+1/2'
'x,-y,z+1/2'
loop_
_atom_site_label
_atom_site_type_symbol
_atom_site_fract_x
_atom_site_fract_y
_atom_site_fract_z
_atom_site_occupancy
Cs1 Cs 0.000 0.214 0.250 1
Cu1 Cu 0.500 0.000 0.000 1
Te1 Te 0.301 0.309 0.853 1
Pd1 Pd 0.500 0.379 0.250 1

(14)
# CsCu2Te8Pd, relaxed, DFT PBE
# Raw formation energy = -0.032 eV per atom
data_CsCu2Te8Pd
_cell_length_a 6.1834
_cell_length_b 6.1834
_cell_length_c 33.7335
_cell_angle_alpha 90.00
_cell_angle_beta 90.00
_cell_angle_gamma 120.00
_symmetry_space_group_name_H-M 'R -3'
_symmetry_Int_Tables_number 148
_symmetry_space_group_name_Hall '-R 3'
loop_
_atom_site_label
_atom_site_type_symbol
_atom_site_fract_x
_atom_site_fract_y
_atom_site_fract_z
_atom_site_occupancy
Cs1 Cs 0.0000 0.0000 0.0000 1
Cu1 Cu 0.0000 0.0000 0.2529 1
Te1 Te 0.0000 0.0000 0.3272 1
Te2 Te 0.0103 0.6095 0.7772 1
Pd1 Pd 0.0000 0.0000 0.5000 1

(15)
# CsCuPd2W, relaxed, DFT PBE
# ΔH_f (0 K) = 6.4 eV/f.u.
data_CsCuPd2W
_cell_length_a 4.894
_cell_length_b 4.894
_cell_length_c 4.614
_cell_angle_alpha 90.00
_cell_angle_beta 90.00
_cell_angle_gamma 90.00
_symmetry_space_group_name_H-M 'P 4/m m m'
_symmetry_Int_Tables_number 123
_symmetry_space_group_name_Hall '-P 4 2'
loop_
_atom_site_label
_atom_site_type_symbol
_atom_site_fract_x
_atom_site_fract_y
_atom_site_fract_z
_atom_site_occupancy
Cs1 Cs 0.000 0.000 0.000 1
Cu1 Cu 0.500 0.500 0.500 1
Pd1 Pd 0.000 0.500 0.500 1
W1 W 0.500 0.500 0.000 1

(16)
# Cs2PmCu2S4, relaxed, DFT PBE
# Raw formation energy = -1.106 eV per atom
data_Cs2PmCu2S4
_cell_length_a 15.115
_cell_length_b 4.049
_cell_length_c 8.146
_cell_angle_alpha 90.00
_cell_angle_beta 108.27
_cell_angle_gamma 90.00
_symmetry_space_group_name_H-M 'C 1 2/m 1'
_symmetry_Int_Tables_number 12
loop_
_symmetry_equiv_pos_as_xyz
'x,y,z'
'-x,-y,-z'
'-x,y,-z'
'x,-y,z'
'x+1/2,y+1/2,z'
'-x+1/2,-y+1/2,-z'
'-x+1/2,y+1/2,-z'
'x+1/2,-y+1/2,z'
loop_
_atom_site_label
_atom_site_type_symbol
_atom_site_fract_x
_atom_site_fract_y
_atom_site_fract_z
_atom_site_occupancy
Cs1 Cs 0.137 0.000 0.060 1
Pm1 Pm 0.000 0.000 0.500 1
Cu1 Cu 0.176 0.500 0.482 1
S1 S 0.024 0.500 0.278 1
S2 S 0.200 0.000 0.640 1

(17)
# CsPm2CuS4, relaxed, DFT PBE
# Raw formation energy = -1.629 eV per atom
data_CsPm2CuS4
_cell_length_a 4.099
_cell_length_b 14.384
_cell_length_c 14.092
_cell_angle_alpha 90.00
_cell_angle_beta 90.00
_cell_angle_gamma 90.00
_symmetry_space_group_name_H-M 'C m c m'
_symmetry_Int_Tables_number 63
_symmetry_space_group_name_Hall '-C 2c 2'
loop_
_atom_site_label
_atom_site_type_symbol
_atom_site_fract_x
_atom_site_fract_y
_atom_site_fract_z
_atom_site_occupancy
Cs1 Cs 0.000 0.105 0.250 1
Pm1 Pm 0.000 0.366 0.061 1
Cu1 Cu 0.000 0.167 0.750 1
S1 S 0.000 0.000 0.000 1
S2 S 0.000 0.256 0.609 1
S3 S 0.000 0.417 0.250 1

(18)
# CsPmCuS2, relaxed, DFT PBE
# Raw formation energy = -1.099 eV per atom
data_CsPmCuS2
_cell_length_a 8.110
_cell_length_b 4.793
_cell_length_c 8.112
_cell_angle_alpha 90.00
_cell_angle_beta 100.64
_cell_angle_gamma 90.00
_symmetry_space_group_name_H-M 'P 1 2/c 1'
_symmetry_Int_Tables_number 13
loop_
_symmetry_equiv_pos_as_xyz
'x,y,z'
'-x,-y,-z'
'-x,y,-z+1/2'
'x,-y,z+1/2'
loop_
_atom_site_label
_atom_site_type_symbol
_atom_site_fract_x
_atom_site_fract_y
_atom_site_fract_z
_atom_site_occupancy
Cs1 Cs 0.000 0.186 0.250 1
Pm1 Pm 0.500 0.494 0.750 1
Cu1 Cu 0.500 0.000 0.000 1
S1 S 0.289 0.303 0.963 1

(19)
# CsPm2CuSe4, relaxed, DFT PBE
# Raw formation energy = -1.508 eV per atom
data_CsPm2CuSe4
_cell_length_a 4.252
_cell_length_b 14.935
_cell_length_c 14.718
_cell_angle_alpha 90.00
_cell_angle_beta 90.00
_cell_angle_gamma 90.00
_symmetry_space_group_name_H-M 'C m c m'
_symmetry_Int_Tables_number 63
_symmetry_space_group_name_Hall '-C 2c 2'
loop_
_atom_site_label
_atom_site_type_symbol
_atom_site_fract_x
_atom_site_fract_y
_atom_site_fract_z
_atom_site_occupancy
Cs1 Cs 0.000 0.107 0.250 1
Pm1 Pm 0.000 0.366 0.062 1
Cu1 Cu 0.000 0.165 0.750 1
Se1 Se 0.000 0.000 0.000 1
Se2 Se 0.000 0.258 0.610 1
Se3 Se 0.000 0.422 0.250 1

(20)
# Cs2PmCu2Se4, relaxed, DFT PBE
# Raw formation energy = -1.053 eV per atom
data_Cs2PmCu2Se4
_cell_length_a 15.606
_cell_length_b 4.192
_cell_length_c 8.493
_cell_angle_alpha 90.00
_cell_angle_beta 108.04
_cell_angle_gamma 90.00
_symmetry_space_group_name_H-M 'C 1 2/m 1'
_symmetry_Int_Tables_number 12
loop_
_symmetry_equiv_pos_as_xyz
'x,y,z'
'-x,-y,-z'
'-x,y,-z'
'x,-y,z'
'x+1/2,y+1/2,z'
'-x+1/2,-y+1/2,-z'
'-x+1/2,y+1/2,-z'
'x+1/2,-y+1/2,z'
loop_
_atom_site_label
_atom_site_type_symbol
_atom_site_fract_x
_atom_site_fract_y
_atom_site_fract_z
_atom_site_occupancy
Cs1 Cs 0.136 0.000 0.059 1
Pm1 Pm 0.000 0.000 0.500 1
Cu1 Cu 0.175 0.500 0.482 1
Se1 Se 0.023 0.500 0.274 1
Se2 Se 0.201 0.000 0.649 1